1.
First-principles (GGA-PBE) data for a relaxed ZrZn2Se crystal, as listed in Alexandria via LeMat-Bulk.

Cell lengths 5.7483, 5.7483, 5.7483 Å; angles 143.11, 139.60, 55.86 degrees
Last column: nearest neighbours and their distance in Å.
Fractional positions:
1 Se 0.2500 0.7500 0.5000  4 Zr 2.69
2 Zn 0.0029 0.0029 0.0000  4 Zn 2.69
3 Zr 0.7500 0.2500 0.5000  4 Se 2.69
4 Zn 0.4971 0.4971 0.0000  4 Zn 2.69

Calculated values
space group: Immm
theoretical density: 6.8 g cm⁻³
calculated volume: 73.3 Å³/f.u.
uncorrected formation energy: -0.373 eV/atom

2.
First-principles (GGA-PBE) data for a relaxed ZnCo2Ir crystal, as listed in Alexandria via LeMat-Bulk.

Cell lengths 8.5014, 8.5014, 8.5014 Å; angles 18.00, 18.00, 18.00 degrees
Last column: nearest neighbours and their distance in Å.
Fractional positions:
1 Co 0.2540 0.2540 0.2540  9 Co 2.44-2.66, 3 Ir 2.61
2 Ir 0.5030 0.5030 0.5030  3 Co 2.61, 6 Ir 2.66, 3 Zn 2.72
3 Zn 0.7466 0.7466 0.7466  3 Co 2.60, 6 Zn 2.66, 3 Ir 2.72
4 Co 0.9964 0.9964 0.9964  9 Co 2.44-2.66, 3 Zn 2.60

Calculated values
space group: R3m
theoretical density: 12.2 g cm⁻³
formation energy from the elements: 39 meV/atom
calculated volume: 51.2 Å³/f.u.

3.
First-principles (GGA-PBE) data for a relaxed Pm6RhSe3S2 crystal, as listed in Alexandria via LeMat-Bulk.

Cell lengths 4.0787, 8.3835, 9.3298 Å; angles 103.51, 102.63, 90.00 degrees
Last column: nearest neighbours and their distance in Å.
Fractional positions:
1 Pm 0.9971 0.7652 0.9943  2 Rh 2.83, 1 S 2.92, 3 Se 3.03
2 Rh 0.5000 0.0000 0.0000  6 Pm 2.83-2.90
3 Pm 0.3360 0.9079 0.6720  2 S 2.86, 1 Rh 2.90, 3 Se 2.97-3.01
4 S 0.8322 0.6660 0.6644  6 Pm 2.85-2.92
5 Pm 0.0029 0.2348 0.0057  2 Rh 2.83, 1 S 2.92, 3 Se 3.03
6 Pm 0.6700 0.5724 0.3399  3 S 2.85-2.87, 3 Se 2.98-3.01
7 Pm 0.6640 0.0921 0.3280  2 S 2.86, 1 Rh 2.90, 3 Se 2.97-3.01
8 Se 0.1682 0.8308 0.3363  6 Pm 2.97-3.03
9 S 0.1678 0.3340 0.3356  6 Pm 2.85-2.92
10 Pm 0.3300 0.4276 0.6601  3 S 2.85-2.87, 3 Se 2.98-3.01
11 Se 0.5000 0.5000 0.0000  6 Pm 3.01-3.03
12 Se 0.8318 0.1692 0.6637  6 Pm 2.97-3.03

Calculated values
space group: C2/m
theoretical density: 7.0 g cm⁻³
calculated volume: 302.3 Å³/f.u.
uncorrected formation energy: -1.710 eV/atom

4.
First-principles (GGA-PBE) data for a relaxed CdAg3C crystal, as listed in Alexandria via LeMat-Bulk.

Cell lengths 4.3977, 4.3977, 4.3977 Å; angles 90.00, 90.00, 90.00 degrees
Last column: nearest neighbours and their distance in Å.
Fractional positions:
1 Ag 0.5000 0.0000 0.0000  2 C 2.20
2 Ag 0.0000 0.5000 0.0000  2 C 2.20
3 C 0.0000 0.0000 0.0000  6 Ag 2.20
4 Cd 0.5000 0.5000 0.5000  12 Ag 3.11
5 Ag 0.0000 0.0000 0.5000  2 C 2.20

Calculated values
space group: Pm-3m
theoretical density: 8.7 g cm⁻³
formation energy from the elements: 691 meV/atom
calculated volume: 85.0 Å³/f.u.

5.
First-principles (GGA-PBE) data for a relaxed Ac2InSb4Pd3 crystal, as listed in Alexandria via LeMat-Bulk.

Cell lengths 4.8399, 4.8399, 10.9330 Å; angles 90.00, 90.00, 90.00 degrees
Last column: nearest neighbours and their distance in Å.
Fractional positions:
1 Sb 0.5000 0.5000 0.0000  4 Pd 2.74
2 Pd 0.0000 0.5000 0.1172  5 Sb 2.63-2.74
3 Sb 0.0000 0.0000 0.0000  4 Pd 2.74
4 Sb 0.0000 0.5000 0.3579  3 Pd 2.63-2.88, 2 In 2.88
5 Pd 0.0000 0.0000 0.5000  4 Sb 2.88
6 Sb 0.5000 0.0000 0.6421  3 Pd 2.63-2.88, 2 In 2.88
7 Ac 0.0000 0.5000 0.7592  8 Sb 3.58-3.65, 7 Pd 3.68-3.91, 2 In 3.73
8 Pd 0.5000 0.0000 0.8828  5 Sb 2.63-2.74
9 In 0.5000 0.5000 0.5000  4 Sb 2.88
10 Ac 0.5000 0.0000 0.2408  8 Sb 3.58-3.65, 7 Pd 3.68-3.91, 2 In 3.73

Calculated values
space group: P-4m2
theoretical density: 8.9 g cm⁻³
calculated volume: 256.1 Å³/f.u.
uncorrected formation energy: -0.718 eV/atom

6.
First-principles (GGA-PBE) data for a relaxed K3Rb3Cd crystal, as listed in Alexandria via LeMat-Bulk.

Cell lengths 6.4322, 13.1861, 13.1861 Å; angles 120.00, 90.00, 90.00 degrees
Last column: nearest neighbours and their distance in Å.
Fractional positions:
1 Rb 0.7500 0.5590 0.1180  2 Cd 4.05, 4 Rb 4.20-4.26
2 Rb 0.7500 0.8820 0.4410  2 Cd 4.05, 4 Rb 4.20-4.26
3 K 0.2500 0.2999 0.1500  1 Cd 4.19
4 K 0.2500 0.8500 0.1500  1 Cd 4.19
5 Rb 0.7500 0.5590 0.4410  2 Cd 4.05, 4 Rb 4.20-4.26
6 K 0.2500 0.8500 0.7001  1 Cd 4.19
7 K 0.7500 0.7001 0.8500  1 Cd 4.19
8 Rb 0.2500 0.4410 0.8820  2 Cd 4.05, 4 Rb 4.20-4.26
9 Rb 0.2500 0.4410 0.5590  2 Cd 4.05, 4 Rb 4.20-4.26
10 K 0.7500 0.1500 0.2999  1 Cd 4.19
11 Rb 0.2500 0.1180 0.5590  2 Cd 4.05, 4 Rb 4.20-4.26
12 Cd 0.7500 0.3333 0.6667  6 Rb 4.05, 3 K 4.19
13 Cd 0.2500 0.6667 0.3333  6 Rb 4.05, 3 K 4.19
14 K 0.7500 0.1500 0.8500  1 Cd 4.19

Calculated values
space group: P6_3/mmc
theoretical density: 1.7 g cm⁻³
formation energy from the elements: 37 meV/atom
calculated volume: 484.3 Å³/f.u.

7.
First-principles (GGA-PBE) data for a relaxed Rb2TiTeAs crystal, as listed in Alexandria via LeMat-Bulk.

Cell lengths 6.5169, 4.9095, 6.5169 Å; angles 90.00, 90.00, 90.00 degrees
Last column: nearest neighbours and their distance in Å.
Fractional positions:
1 Rb 0.0000 0.0000 0.5000  2 As 3.26
2 As 0.0000 0.0000 0.0000  2 Ti 2.45
3 Te 0.5000 0.5000 0.5000  8 Rb 4.08
4 Rb 0.5000 0.0000 0.0000  2 As 3.26
5 Ti 0.0000 0.5000 0.0000  2 As 2.45

Calculated values
space group: P4/mmm
theoretical density: 3.4 g cm⁻³
calculated volume: 208.5 Å³/f.u.
uncorrected formation energy: -0.102 eV/atom

8.
First-principles (GGA-PBE) data for a relaxed LaMn2Au crystal, as listed in Alexandria via LeMat-Bulk.

Cell lengths 4.9578, 4.9578, 4.9578 Å; angles 60.00, 60.00, 60.00 degrees
Last column: nearest neighbours and their distance in Å.
Fractional positions:
1 Mn 0.2500 0.2500 0.2500  4 Mn 3.04, 4 Au 3.04
2 La 0.7500 0.7500 0.7500  4 Mn 3.04, 4 Au 3.04
3 Mn 0.0000 0.0000 0.0000  4 Mn 3.04, 4 La 3.04
4 Au 0.5000 0.5000 0.5000  4 La 3.04, 4 Mn 3.04

Calculated values
space group: F-43m
theoretical density: 8.6 g cm⁻³
formation energy from the elements: 175 meV/atom
calculated volume: 86.2 Å³/f.u.